# 1
Computed, not measured: a relaxed NiSbPd crystal at the GGA-PBE level of DFT.

abc: 3.139 4.269 4.269
angles: 120.00 90.00 90.00
Fractional coordinates of all 3 atoms:
Sb 0.840 0.333 0.667
Pd 0.332 0.667 0.333
Ni 0.828 0.000 0.000

SG: P3m1

***

# 2
Computed, not measured: a relaxed Ni2SbPd crystal at the GGA-PBE level of DFT.

abc: 3.706 3.930 3.930
angles: 90.00 90.00 90.00
Fractional coordinates of all 4 atoms:
Sb 0.500 0.500 0.500
Pd 0.500 0.000 0.000
Ni 0.000 0.000 0.500
Ni 0.000 0.500 0.000

SG: P4/mmm

***

# 3
Computed, not measured: a relaxed NiSb4Pd2 crystal at the GGA-PBE level of DFT.

abc: 5.040 5.040 7.439
angles: 70.20 70.20 90.00
Fractional coordinates of all 7 atoms:
Sb 0.197 0.197 0.607
Sb 0.803 0.803 0.393
Sb 0.000 0.500 0.000
Sb 0.500 0.000 0.000
Pd 0.393 0.393 0.214
Pd 0.607 0.607 0.786
Ni 0.000 0.000 0.000

energy above the lowest structure with this stoichiometry: 39.1 kJ per mole of atoms
SG: I4/mmm

***

# 4
Computed, not measured: a relaxed Ni2Sb2Pd crystal at the GGA-PBE level of DFT.

abc: 7.348 7.348 3.176
angles: 90.00 90.00 90.00
Fractional coordinates of all 10 atoms:
Sb 0.333 0.833 0.000
Sb 0.833 0.667 0.000
Sb 0.667 0.167 0.000
Sb 0.167 0.333 0.000
Pd 0.000 0.000 0.000
Pd 0.500 0.500 0.000
Ni 0.127 0.627 0.500
Ni 0.627 0.873 0.500
Ni 0.873 0.373 0.500
Ni 0.373 0.127 0.500

energy above the lowest structure with this stoichiometry: 9.0 kJ per mole of atoms
SG: P4/mbm

***

# 5
Computed, not measured: a relaxed NiSb4Pd crystal at the GGA-PBE level of DFT.

abc: 6.440 6.438 6.445
angles: 90.00 90.50 90.00
Fractional coordinates of all 12 atoms:
Ni 0.500 0.000 0.500
Ni 0.000 0.500 0.500
Sb 0.877 0.624 0.139
Sb 0.623 0.124 0.861
Sb 0.364 0.366 0.379
Sb 0.136 0.866 0.621
Sb 0.123 0.376 0.861
Sb 0.377 0.876 0.139
Sb 0.636 0.634 0.621
Sb 0.864 0.134 0.379
Pd 0.000 0.000 0.000
Pd 0.500 0.500 0.000

SG: P2_1/c

***

# 6
Computed, not measured: a relaxed Ni2Sb8Pd crystal at the GGA-PBE level of DFT.

abc: 4.580 8.846 8.249
angles: 112.00 106.20 90.04
Fractional coordinates of all 11 atoms:
Ni 0.347 0.317 0.698
Ni 0.653 0.683 0.302
Sb 0.089 0.634 0.176
Sb 0.911 0.366 0.824
Sb 0.554 0.863 0.108
Sb 0.177 0.223 0.355
Sb 0.369 0.613 0.735
Sb 0.446 0.137 0.892
Sb 0.823 0.777 0.645
Sb 0.631 0.387 0.265
Pd 0.000 0.000 0.000

energy above the lowest structure with this stoichiometry: 0.0 kJ per mole of atoms
SG: P-1

***

# 7
Computed, not measured: a relaxed Ni15Sb4Pd crystal at the GGA-PBE level of DFT.

abc: 3.724 3.724 18.474
angles: 90.00 90.00 90.00
Site moments in Bohr magnetons follow the coordinates.
Fractional coordinates of all 20 atoms:
Ni 0.500 0.500 0.000  0.58
Ni 0.500 0.500 0.201  0.02
Ni 0.500 0.500 0.400  0.01
Ni 0.500 0.500 0.600  0.01
Ni 0.500 0.500 0.799  0.02
Ni 0.500 0.000 0.097  0.22
Ni 0.500 0.000 0.299  -0.02
Ni 0.500 0.000 0.500  0.00
Ni 0.500 0.000 0.701  -0.02
Ni 0.500 0.000 0.903  0.22
Ni 0.000 0.500 0.097  0.22
Ni 0.000 0.500 0.299  -0.02
Ni 0.000 0.500 0.500  0.00
Ni 0.000 0.500 0.701  -0.02
Ni 0.000 0.500 0.903  0.22
Sb 0.000 0.000 0.194  0.00
Sb 0.000 0.000 0.398  0.00
Sb 0.000 0.000 0.602  0.00
Sb 0.000 0.000 0.806  0.00
Pd 0.000 0.000 0.000  0.13

SG: P4/mmm

***

# 8
Computed, not measured: a relaxed Ni4SbPd crystal at the GGA-PBE level of DFT.

abc: 4.825 4.825 4.825
angles: 60.00 60.00 60.00
Site moments in Bohr magnetons follow the coordinates.
Fractional coordinates of all 6 atoms:
Sb 0.250 0.250 0.250  0.00
Pd 0.000 0.000 0.000  0.02
Ni 0.625 0.625 0.124  0.12
Ni 0.625 0.124 0.625  0.12
Ni 0.625 0.625 0.625  0.12
Ni 0.124 0.625 0.625  0.12

SG: F-43m

***

# 9
Computed, not measured: a relaxed NiSbPd crystal at the GGA-PBE level of DFT.

abc: 3.481 3.481 4.701
angles: 111.73 111.73 90.00
Fractional coordinates of all 3 atoms:
Sb 0.667 0.667 0.334
Pd 0.997 0.997 0.994
Ni 0.336 0.336 0.672

SG: I4mm

***

# 10
Computed, not measured: a relaxed NiSb6Pd2 crystal at the GGA-PBE level of DFT.

abc: 6.718 6.718 5.462
angles: 90.00 90.00 120.00
Fractional coordinates of all 9 atoms:
Ni 0.000 0.000 0.000
Sb 0.352 0.352 0.207
Sb 0.000 0.352 0.793
Sb 0.352 0.000 0.793
Sb 0.000 0.648 0.207
Sb 0.648 0.648 0.793
Sb 0.648 0.000 0.207
Pd 0.667 0.333 0.500
Pd 0.333 0.667 0.500

SG: P-31m

***

# 11
Computed, not measured: a relaxed Ni2Sb8Pd crystal at the GGA-PBE level of DFT.

abc: 4.917 8.050 8.050
angles: 60.12 90.69 90.69
Fractional coordinates of all 11 atoms:
Ni 0.757 0.822 0.822
Ni 0.243 0.178 0.178
Sb 0.272 0.351 0.815
Sb 0.728 0.185 0.649
Sb 0.259 0.826 0.826
Sb 0.741 0.174 0.174
Sb 0.272 0.815 0.351
Sb 0.728 0.649 0.185
Sb 0.811 0.644 0.644
Sb 0.189 0.356 0.356
Pd 0.000 0.000 0.000

energy above the lowest structure with this stoichiometry: 4.2 kJ per mole of atoms
SG: C2/m

***

# 12
Computed, not measured: a relaxed Ni2Sb2Pd crystal at the GGA-PBE level of DFT.

abc: 3.440 3.440 7.854
angles: 77.35 77.35 90.00
Fractional coordinates of all 5 atoms:
Sb 0.382 0.382 0.236
Sb 0.618 0.618 0.764
Pd 0.000 0.000 0.000
Ni 0.750 0.250 0.500
Ni 0.250 0.750 0.500

energy above the lowest structure with this stoichiometry: 10.1 kJ per mole of atoms
SG: I4/mmm

***

# 13
Computed, not measured: a relaxed NiSbPd crystal at the GGA-PBE level of DFT.

abc: 4.359 4.898 7.693
angles: 119.11 73.54 63.58
Fractional coordinates of all 6 atoms:
Ni 0.547 0.230 0.676
Ni 0.453 0.770 0.324
Sb 0.935 0.923 0.206
Sb 0.065 0.077 0.794
Pd 0.197 0.344 0.262
Pd 0.803 0.656 0.738

SG: C2/m

***

# 14
Computed, not measured: a relaxed NiSbPd6 crystal at the GGA-PBE level of DFT.

abc: 8.914 9.358 7.348
angles: 24.88 32.44 30.22
Site moments in Bohr magnetons follow the coordinates.
Fractional coordinates of all 8 atoms:
Ni 0.000 0.000 0.000  0.82
Sb 0.500 0.500 0.500  0.00
Pd 0.224 0.272 0.738  0.08
Pd 0.866 0.882 0.624  0.03
Pd 0.397 0.364 0.115  0.09
Pd 0.134 0.118 0.376  0.03
Pd 0.776 0.728 0.262  0.08
Pd 0.603 0.636 0.885  0.09

SG: C2/m

***

# 15
Computed, not measured: a relaxed ScNiSbPd crystal at the GGA-PBE level of DFT.

abc: 4.566 4.566 4.566
angles: 60.00 60.00 60.00
Fractional coordinates of all 4 atoms:
Sc 0.500 0.500 0.500
Sb 0.000 0.000 0.000
Pd 0.750 0.750 0.750
Ni 0.250 0.250 0.250

SG: F-43m

***

# 16
Computed, not measured: a relaxed Sm2Ni3Sb4Pd crystal at the GGA-PBE level of DFT.

abc: 4.518 4.518 10.067
angles: 90.00 90.00 90.00
Fractional coordinates of all 10 atoms:
Sm 0.500 0.000 0.256
Sm 0.000 0.500 0.744
Ni 0.000 0.000 0.500
Ni 0.500 0.000 0.881
Ni 0.000 0.500 0.119
Sb 0.500 0.500 0.000
Sb 0.000 0.000 0.000
Sb 0.500 0.000 0.635
Sb 0.000 0.500 0.365
Pd 0.500 0.500 0.500

SG: P-4m2

***

# 17
Computed, not measured: a relaxed Ni7Sn2Sb2Pd crystal at the GGA-PBE level of DFT.

abc: 3.672 3.672 14.789
angles: 85.60 85.60 90.60
Site moments in Bohr magnetons follow the coordinates.
Fractional coordinates of all 12 atoms:
Ni 0.500 0.500 0.000  0.14
Ni 0.360 0.360 0.423  0.00
Ni 0.640 0.640 0.577  0.00
Ni 0.962 0.462 0.124  0.10
Ni 0.462 0.962 0.124  0.10
Ni 0.538 0.038 0.876  0.10
Ni 0.038 0.538 0.876  0.10
Sn 0.575 0.575 0.754  -0.01
Sn 0.425 0.425 0.246  -0.01
Sb 0.859 0.859 0.410  0.00
Sb 0.141 0.141 0.590  0.00
Pd 0.000 0.000 0.000  0.06

SG: C2/m

***

# 18
Computed, not measured: a relaxed Sr2Ni3Sb4Pd crystal at the GGA-PBE level of DFT.

abc: 4.600 4.600 10.281
angles: 90.00 90.00 90.00
Fractional coordinates of all 10 atoms:
Sr 0.500 0.000 0.256
Sr 0.000 0.500 0.744
Ni 0.000 0.000 0.500
Ni 0.500 0.000 0.881
Ni 0.000 0.500 0.119
Sb 0.500 0.500 0.000
Sb 0.000 0.000 0.000
Sb 0.500 0.000 0.633
Sb 0.000 0.500 0.367
Pd 0.500 0.500 0.500

SG: P-4m2

***

# 19
Computed, not measured: a relaxed Sr2NiSb4Pd3 crystal at the GGA-PBE level of DFT.

abc: 4.662 4.662 10.784
angles: 90.00 90.00 90.00
Fractional coordinates of all 10 atoms:
Sr 0.500 0.000 0.262
Sr 0.000 0.500 0.738
Ni 0.500 0.500 0.500
Sb 0.500 0.500 0.000
Sb 0.000 0.000 0.000
Sb 0.500 0.000 0.619
Sb 0.000 0.500 0.381
Pd 0.000 0.000 0.500
Pd 0.500 0.000 0.867
Pd 0.000 0.500 0.133

SG: P-4m2

***

# 20
Computed, not measured: a relaxed NiSbTe2Pd crystal at the GGA-PBE level of DFT.

abc: 5.100 5.100 4.797
angles: 90.00 90.00 90.00
Fractional coordinates of all 5 atoms:
Sb 0.000 0.000 0.500
Te 0.000 0.500 0.000
Te 0.500 0.000 0.000
Pd 0.500 0.500 0.500
Ni 0.000 0.000 0.000

energy above the lowest structure with this stoichiometry: 0.0 kJ per mole of atoms
SG: P4/mmm

***

For each record above, in turn, the calculated V values are 50 57 166 172 267 295 256 79 49 214 276 88 99 124 67 206 198 218 234 125 Å³/cell.
For each record above, in turn, the calculated size of the total moment values are 0.00 0.00 0.00 0.00 0.00 0.00 1.49 0.45 0.00 0.00 0.00 0.00 0.00 1.16 0.00 0.00 0.50 0.00 0.00 0.00 μB/cell.
For each record above, in turn, the calculated energy relative to the elements, uncorrected values are -0.164 -0.175 0.086 -0.048 -0.264 -0.032 -0.107 -0.008 -0.199 -0.231 0.012 -0.037 -0.195 -0.182 -0.648 -0.662 0.003 -0.598 -0.701 0.435 eV/atom.